1.
DFT (GGA-PBE) results for a geometry-optimized GdHfOs2 structure.

It has space group P4/mmm (No. 123), with a = 3.311 Å, b = 3.311 Å, c = 6.824 Å, α = 90.00°, β = 90.00° and γ = 90.00°. The asymmetric unit holds Gd at (0.000, 0.000, 0.000), Hf at (0.000, 0.000, 0.500) and Os at (0.500, 0.500, 0.273).

2.
DFT (GGA-PBE) results for a geometry-optimized GdHfOsPd structure.

It has space group F-43m (No. 216), with a = 6.759 Å, b = 6.759 Å, c = 6.759 Å, α = 90.00°, β = 90.00° and γ = 90.00°. The asymmetric unit holds Gd at (0.000, 0.000, 0.000), Hf at (0.000, 0.000, 0.500), Os at (0.250, 0.250, 0.250) and Pd at (0.250, 0.250, 0.750).

3.
DFT (GGA-PBE) results for a geometry-optimized GdHfZnOs structure.

It has space group F-43m (No. 216), with a = 6.781 Å, b = 6.781 Å, c = 6.781 Å, α = 90.00°, β = 90.00° and γ = 90.00°. The asymmetric unit holds Gd at (0.000, 0.000, 0.000), Hf at (0.000, 0.000, 0.500), Zn at (0.250, 0.250, 0.250) and Os at (0.250, 0.250, 0.750).

4.
DFT (GGA-PBE) results for a geometry-optimized GdHfP2 structure.

It has space group R-3m (No. 166, hexagonal axes), with a = 3.8397 Å, b = 3.8397 Å, c = 19.1199 Å, α = 90.00°, β = 90.00° and γ = 120.00°. The asymmetric unit holds Gd at (0.0000, 0.0000, 0.0000), Hf at (0.0000, 0.0000, 0.5000) and P at (0.0000, 0.0000, 0.2430).

5.
DFT (GGA-PBE) results for a geometry-optimized GdHf2Pa structure.

It has space group P4/mmm (No. 123), with a = 3.198 Å, b = 3.198 Å, c = 9.881 Å, α = 90.00°, β = 90.00° and γ = 90.00°. The asymmetric unit holds Gd at (0.000, 0.000, 0.000), Hf at (0.500, 0.500, 0.263) and Pa at (0.000, 0.000, 0.500).

6.
DFT (GGA-PBE) results for a geometry-optimized GdHf2Pb structure.

It has space group R-3m (No. 166, hexagonal axes), with a = 3.2213 Å, b = 3.2213 Å, c = 34.4441 Å, α = 90.00°, β = 90.00° and γ = 120.00°. The asymmetric unit holds Gd at (0.0000, 0.0000, 0.0000), Hf at (0.0000, 0.0000, 0.0912) and Pb at (0.0000, 0.0000, 0.5000).

no.,total magnetization (μB/cell),energy of formation (eV per atom)
1,7.03,-0.330
2,28.29,-0.511
3,27.99,-0.243
4,20.58,-1.455
5,7.43,0.163
6,23.35,0.373